1.
Computed, not measured: a relaxed MgF crystal at the PBE level of DFT.

Cell: 8.746 8.746 3.709 Å, 90.00 90.00 90.00°
Fractional coordinates of all 16 atoms:
1 F 0.793 0.869 0.500
2 F 0.631 0.293 0.000
3 Mg 0.807 0.428 0.000
4 F 0.369 0.707 0.000
5 F 0.207 0.131 0.500
6 F 0.869 0.207 0.500
7 F 0.293 0.369 0.000
8 Mg 0.072 0.307 0.500
9 Mg 0.307 0.928 0.500
10 Mg 0.193 0.572 0.000
11 F 0.131 0.793 0.500
12 F 0.707 0.631 0.000
13 Mg 0.928 0.693 0.500
14 Mg 0.693 0.072 0.500
15 Mg 0.572 0.807 0.000
16 Mg 0.428 0.193 0.000

## Properties
**Relative energy among the computed polymorphs**: 0.223 eV/atom
**Space group**: I4/m, No. 87
**Formation energy without anion corrections**: -2218 meV/atom

***

2.
Computed, not measured: a relaxed La2Ni3Sn crystal at the PBE level of DFT.

Cell: 6.047 6.047 8.417 Å, 110.32 110.32 91.92°
Fractional coordinates of all 12 atoms:
1 Ni 0.680 0.159 0.838
2 Ni 0.159 0.159 0.319
3 Ni 0.159 0.680 0.838
4 La 0.770 0.770 0.000
5 La 0.750 0.250 0.500
6 Sn 0.664 0.664 0.328
7 Ni 0.320 0.841 0.162
8 Sn 0.336 0.336 0.672
9 La 0.230 0.230 0.000
10 La 0.250 0.750 0.500
11 Ni 0.841 0.841 0.681
12 Ni 0.841 0.320 0.162

## Properties
**Relative energy among the computed polymorphs**: 0.034 eV/atom
**Calculated formation energy**: -0.38 eV/atom
**Space group**: Fmmm, No. 69

***

3.
Computed, not measured: a relaxed SmYErSc crystal at the PBE level of DFT.

Cell: 5.559 5.559 5.559 Å, 60.00 60.00 60.00°
Fractional coordinates of all 4 atoms:
1 Y 0.500 0.500 0.500
2 Sc 0.750 0.750 0.750
3 Er 0.250 0.250 0.250
4 Sm 0.000 0.000 0.000

## Properties
**Relative energy among the computed polymorphs**: 0.010 eV/atom
**Calculated formation energy**: 0.11 eV/atom
**Space group**: F-43m, No. 216

***

4.
Computed, not measured: a relaxed Ca2GdIn crystal at the PBE level of DFT.

Cell: 3.615 3.615 12.233 Å, 81.50 81.50 60.00°
Site moments in Bohr magnetons follow the coordinates.
Fractional coordinates of all 4 atoms:
1 In 0.500 0.500 0.500  0.00
2 Ca 0.904 0.904 0.287  0.00
3 Gd 0.000 0.000 0.000  7.37
4 Ca 0.096 0.096 0.713  0.00

## Properties
**Relative energy among the computed polymorphs**: 0.244 eV/atom
**Calculated formation energy**: 0.02 eV/atom
**Space group**: R-3m, No. 166

***

5.
Computed, not measured: a relaxed Gd2GaTe crystal at the PBE level of DFT.

Cell: 3.704 3.704 7.607 Å, 90.00 90.00 90.00°
Site moments in Bohr magnetons follow the coordinates.
Fractional coordinates of all 4 atoms:
1 Gd 0.000 0.000 0.242  7.15
2 Ga 0.500 0.500 0.000  -0.06
3 Te 0.500 0.500 0.500  -0.04
4 Gd 0.000 0.000 0.758  7.15

## Properties
**Relative energy among the computed polymorphs**: 0.118 eV/atom
**Space group**: P4/mmm, No. 123
**Formation energy without anion corrections**: -831 meV/atom

***

6.
Computed, not measured: a relaxed In3IrBr crystal at the PBE level of DFT.

Cell: 12.965 12.965 4.978 Å, 90.00 90.00 151.06°
Fractional coordinates of all 10 atoms:
1 In 0.514 0.931 0.750
2 In 0.000 0.000 0.000
3 In 0.486 0.069 0.250
4 In 0.069 0.486 0.750
5 Br 0.887 0.113 0.750
6 Ir 0.715 0.285 0.750
7 In 0.931 0.514 0.250
8 In 0.000 0.000 0.500
9 Br 0.113 0.887 0.250
10 Ir 0.285 0.715 0.250

## Properties
**Relative energy among the computed polymorphs**: 0.560 eV/atom
**Space group**: Cmcm, No. 63
**Formation energy without anion corrections**: 182 meV/atom

***

7.
Computed, not measured: a relaxed La3Te2I2 crystal at the PBE level of DFT.

Cell: 4.556 7.963 7.673 Å, 101.12 90.05 106.68°
Fractional coordinates of all 7 atoms:
1 La 0.741 0.482 0.243
2 Te 0.124 0.249 0.381
3 I 0.613 0.226 0.832
4 I 0.387 0.774 0.168
5 Te 0.876 0.751 0.619
6 La 0.259 0.518 0.757
7 La 0.000 0.000 0.000

## Properties
**Space group**: P-1, No. 2
**Formation energy without anion corrections**: -1339 meV/atom

***

8.
Computed, not measured: a relaxed LiTcAs2 crystal at the PBE level of DFT.

Cell: 7.154 7.154 7.154 Å, 155.12 153.16 36.91°
Fractional coordinates of all 4 atoms:
1 Tc 0.204 0.704 0.500
2 As 0.790 0.290 0.500
3 Li 0.445 0.445 0.000
4 As 0.060 0.060 0.000

## Properties
**Relative energy among the computed polymorphs**: 0.090 eV/atom
**Calculated formation energy**: -0.26 eV/atom
**Space group**: Imm2, No. 44

***

Asked for theoretical density across the records above, the calculation gives 2.03; 7.13; 6.17; 4.29; 8.14; 5.06; 5.89; 6.09 Mg/m³ in order.